Record 1
{"formula": "LaTbDyIn", "functional": "GGA-PBE", "state": "relaxed", "lattice_angstrom": [[5.496, 0.000, 0.000], [2.748, 4.759, 0.000], [2.748, 1.586, 4.487]], "species": ["In", "La", "Tb", "Dy"], "fractional_positions": [[0.750, 0.750, 0.750], [0.250, 0.250, 0.250], [0.500, 0.500, 0.500], [0.000, 0.000, 0.000]], "e_form_ev_per_atom": -0.095, "space_group": "F-43m (216)"}

=====

Record 2
{"formula": "NbIBr4", "functional": "GGA-PBE", "state": "relaxed", "lattice_angstrom": [[6.882, 0.000, 1.288], [0.000, 9.377, 0.000], [-0.372, -4.689, 7.137]], "species": ["Nb", "Nb", "I", "I", "Br", "Br", "Br", "Br", "Br", "Br", "Br", "Br"], "fractional_positions": [[0.293, 0.525, 0.050], [0.707, 0.475, 0.950], [0.798, 0.812, 0.623], [0.202, 0.188, 0.377], [0.162, 0.706, 0.412], [0.462, 0.222, 0.791], [0.000, 0.321, 0.000], [0.538, 0.431, 0.209], [0.838, 0.294, 0.588], [0.538, 0.778, 0.209], [0.000, 0.679, 0.000], [0.462, 0.569, 0.791]], "raw_formation_energy_ev_per_atom": -0.519, "space_group": "C2/m (12)"}

=====

Record 3
{"formula": "CrFe2CuW", "functional": "GGA-PBE", "state": "relaxed", "lattice_angstrom": [[-0.106, 4.290, -0.927], [-4.538, 0.108, 1.019], [0.961, 0.928, 4.182]], "species": ["Cr", "Cu", "W", "Fe", "Fe"], "fractional_positions": [[0.500, 0.500, 0.500], [0.000, 0.500, 0.000], [0.000, 0.000, 0.000], [0.000, 0.000, 0.500], [0.500, 0.000, 0.000]], "e_form_ev_per_atom": 1.964, "space_group": "P4/mmm (123)"}

=====

Record 4
{"formula": "NaTlCd", "functional": "GGA-PBE", "state": "relaxed", "lattice_angstrom": [[-0.721, -5.040, -0.196], [3.894, -3.089, -1.120], [1.990, -3.000, 3.605]], "species": ["Na", "Tl", "Cd"], "fractional_positions": [[0.000, 0.000, 0.000], [0.500, 0.500, 0.500], [0.250, 0.250, 0.250]], "e_form_ev_per_atom": 0.004, "de_polymorph_kj_per_mol_fu": 30, "space_group": "F-43m (216)"}

=====

Record 5
{"formula": "Si2P", "functional": "GGA-PBE", "state": "relaxed", "lattice_angstrom": [[6.377, 0.000, -0.002], [0.000, 3.734, 0.000], [-3.334, 0.000, 9.624]], "species": ["Si", "Si", "Si", "Si", "Si", "Si", "Si", "Si", "P", "P", "P", "P"], "fractional_positions": [[0.554, 0.000, 0.873], [0.554, 0.500, 0.373], [0.994, 0.000, 0.206], [0.994, 0.500, 0.706], [0.250, 0.000, 0.078], [0.250, 0.500, 0.578], [0.484, 0.000, 0.633], [0.484, 0.500, 0.133], [0.178, 0.000, 0.843], [0.178, 0.500, 0.343], [0.717, 0.000, 0.506], [0.717, 0.500, 0.006]], "de_polymorph_kj_per_mol_fu": 17, "raw_formation_energy_ev_per_atom": 0.063, "space_group": "Cm (8)"}

=====

Record 6
{"formula": "Cs3TbNd2Te6", "functional": "GGA-PBE", "state": "relaxed", "lattice_angstrom": [[-6.478, -4.223, 2.209], [2.334, 0.053, -7.696], [6.552, -5.745, 3.349]], "species": ["Cs", "Cs", "Cs", "Tb", "Nd", "Nd", "Te", "Te", "Te", "Te", "Te", "Te"], "fractional_positions": [[0.169, 0.831, 0.500], [0.831, 0.169, 0.500], [0.500, 0.500, 0.500], [0.000, 0.000, 0.000], [0.334, 0.666, 0.000], [0.666, 0.334, 0.000], [0.936, 0.609, 0.807], [0.738, 0.738, 0.194], [0.064, 0.391, 0.193], [0.609, 0.936, 0.807], [0.262, 0.262, 0.806], [0.391, 0.064, 0.193]], "raw_formation_energy_ev_per_atom": -1.407, "space_group": "C2/m (12)"}

=====

Record 7
{"formula": "CrFeP2", "functional": "GGA-PBE", "state": "relaxed", "lattice_angstrom": [[-1.908, 0.000, -2.397], [4.104, -0.444, -3.268], [-0.388, -5.873, 0.310]], "species": ["Cr", "Cr", "Fe", "Fe", "P", "P", "P", "P"], "fractional_positions": [[0.500, 0.495, 0.050], [0.500, 0.995, 0.950], [0.000, 0.506, 0.445], [0.000, 0.006, 0.555], [0.500, 0.311, 0.677], [0.500, 0.811, 0.323], [0.000, 0.688, 0.809], [0.000, 0.188, 0.191]], "e_form_ev_per_atom": -0.557, "de_polymorph_kj_per_mol_fu": 0, "space_group": "Pmc2_1 (26)"}

=====

Record 8
{"formula": "Pa2OsPt", "functional": "GGA-PBE", "state": "relaxed", "lattice_angstrom": [[4.914, 0.000, 0.000], [2.457, 4.256, 0.000], [2.457, 1.419, 4.013]], "species": ["Pa", "Pa", "Os", "Pt"], "fractional_positions": [[0.250, 0.250, 0.250], [0.750, 0.750, 0.750], [0.000, 0.000, 0.000], [0.500, 0.500, 0.500]], "e_form_ev_per_atom": -0.461, "de_polymorph_kj_per_mol_fu": 58, "space_group": "Fm-3m (225)"}